{"formula": "TiMoW4", "functional": "PBE-GGA", "state": "optimized geometry", "sg": "C2/m", "dos_ef_per_ev_cell": 6.00, "magmom_total_mub_per_cell": 0.00, "energy_ev_per_atom": -11.866, "lattice": [[9.5311, 0.0000, 0.0000], [0.0000, 4.4859, 0.0000], [-3.1376, 0.0000, 4.4852]], "species": ["Ti", "Ti", "Mo", "Mo", "W", "W", "W", "W", "W", "W", "W", "W"], "fractional_positions": [[0.0000, 0.0000, 0.0000], [0.5000, 0.5000, 0.0000], [0.0000, 0.0000, 0.5000], [0.5000, 0.5000, 0.5000], [0.1640, 0.5000, 0.8337], [0.1698, 0.5000, 0.3367], [0.3302, 0.0000, 0.6633], [0.3360, 0.0000, 0.1663], [0.6640, 0.0000, 0.8337], [0.6698, 0.0000, 0.3367], [0.8302, 0.5000, 0.6633], [0.8360, 0.5000, 0.1663]]}


{"formula": "GaAgTeBr2", "functional": "PBE-GGA", "state": "optimized geometry", "raw_formation_energy_ev_per_fu": 0.0, "sg": "P4/mmm", "dos_ef_per_ev_cell": 2.73, "magmom_total_mub_per_cell": 0.00, "energy_ev_per_atom": -2.468, "lattice": [[5.0335, 0.0000, 0.0000], [0.0000, 5.0335, 0.0000], [0.0000, 0.0000, 5.8173]], "species": ["Ga", "Ag", "Te", "Br", "Br"], "fractional_positions": [[0.0000, 0.0000, 0.0000], [0.5000, 0.5000, 0.5000], [0.0000, 0.0000, 0.5000], [0.0000, 0.5000, 0.0000], [0.5000, 0.0000, 0.0000]]}


{"formula": "Tl2InClF", "functional": "PBE-GGA", "state": "optimized geometry", "raw_formation_energy_ev_per_fu": -3.8, "sg": "P4/mmm", "dos_ef_per_ev_cell": 3.49, "magmom_total_mub_per_cell": 0.00, "energy_ev_per_atom": -2.989, "lattice": [[4.9886, 0.0000, 0.0000], [0.0000, 4.9886, 0.0000], [0.0000, 0.0000, 6.4050]], "species": ["Tl", "Tl", "In", "Cl", "F"], "fractional_positions": [[0.0000, 0.5000, 0.0000], [0.5000, 0.0000, 0.0000], [0.0000, 0.0000, 0.5000], [0.5000, 0.5000, 0.5000], [0.5000, 0.5000, 0.0000]]}


{"formula": "Tl2AgAu", "functional": "PBE-GGA", "state": "optimized geometry", "sg": "Cm", "dos_ef_per_ev_cell": 2.77, "magmom_total_mub_per_cell": 0.00, "energy_ev_per_atom": -2.647, "lattice": [[9.7928, 0.0000, 0.0000], [0.0000, 3.7157, 0.0000], [-1.3789, 0.0000, 5.3139]], "species": ["Tl", "Tl", "Tl", "Tl", "Ag", "Ag", "Au", "Au"], "fractional_positions": [[0.0000, 0.0000, 0.0000], [0.2275, 0.0000, 0.6674], [0.5000, 0.5000, 0.0000], [0.7275, 0.5000, 0.6674], [0.4772, 0.0000, 0.4410], [0.9772, 0.5000, 0.4410], [0.2462, 0.5000, 0.2303], [0.7462, 0.0000, 0.2303]]}


{"formula": "WSBrN2", "functional": "PBE-GGA", "state": "optimized geometry", "raw_formation_energy_ev_per_fu": 2.8, "sg": "P4/mmm", "dos_ef_per_ev_cell": 4.92, "magmom_total_mub_per_cell": 0.00, "energy_ev_per_atom": -6.518, "lattice": [[3.9082, 0.0000, 0.0000], [0.0000, 3.9082, 0.0000], [0.0000, 0.0000, 5.2402]], "species": ["W", "S", "Br", "N", "N"], "fractional_positions": [[0.0000, 0.0000, 0.0000], [0.0000, 0.0000, 0.5000], [0.5000, 0.5000, 0.5000], [0.0000, 0.5000, 0.0000], [0.5000, 0.0000, 0.0000]]}